Entry 1:
Here is a relaxed structure of MgInMoPt2 from Alexandria via LeMat-Bulk. Energies are from PBE.

Unit cell a=4.8775 b=4.8775 c=5.1624 alpha=90.00 beta=90.00 gamma=90.00
Fractional positions:
Mg 0.0000 0.0000 0.0000
In 0.5000 0.5000 0.0000
Mo 0.5000 0.5000 0.5000
Pt 0.0000 0.5000 0.5000
Pt 0.5000 0.0000 0.5000

## Properties
SG: No. 123
Total energy (eV/atom): -4.7624
Spin magnetization (μB/atom): 0.000

=====

Entry 2:
Here is a relaxed structure of Mg2InMo3S8 from Alexandria via LeMat-Bulk. Energies are from PBE.

Unit cell a=7.5327 b=7.5327 c=7.5327 alpha=59.52 beta=59.52 gamma=59.52
Fractional positions:
Mg 0.1244 0.1244 0.1244
Mg 0.8756 0.8756 0.8756
In 0.5000 0.5000 0.5000
Mo 0.0000 0.5000 0.5000
Mo 0.5000 0.0000 0.5000
Mo 0.5000 0.5000 0.0000
S 0.2522 0.2522 0.7203
S 0.2522 0.7203 0.2522
S 0.2608 0.2608 0.2608
S 0.2797 0.7478 0.7478
S 0.7203 0.2522 0.2522
S 0.7392 0.7392 0.7392
S 0.7478 0.2797 0.7478
S 0.7478 0.7478 0.2797

## Properties
Formation energy (no corrections) (eV per atom): -0.648
SG: No. 166
Total energy (eV/atom): -5.7509
Spin magnetization (μB/atom): 0.625

=====

Entry 3:
Here is a relaxed structure of MgInMoS4 from Alexandria via LeMat-Bulk. Energies are from PBE.

Unit cell a=7.5816 b=7.5816 c=7.5816 alpha=120.40 beta=120.25 gamma=89.44
Fractional positions:
Mg 0.3736 0.1236 0.2500
Mg 0.6264 0.8764 0.7500
In 0.0000 0.5000 0.5000
In 0.5000 0.5000 0.0000
Mo 0.0000 0.0000 0.5000
Mo 0.0000 0.5000 0.0000
S 0.2208 0.7468 0.4740
S 0.2272 0.2532 0.9740
S 0.2331 0.2419 0.5089
S 0.2331 0.7242 0.9911
S 0.7669 0.2758 0.0089
S 0.7669 0.7581 0.4911
S 0.7728 0.7468 0.0260
S 0.7792 0.2532 0.5260

## Properties
Formation energy (no corrections) (eV per atom): -0.709
SG: No. 74
Total energy (eV/atom): -5.2334
Spin magnetization (μB/atom): 0.428

=====

Entry 4:
Here is a relaxed structure of MgInMoS2 from Alexandria via LeMat-Bulk. Energies are from PBE.

Unit cell a=4.6727 b=4.6727 c=5.3129 alpha=90.00 beta=90.00 gamma=90.00
Fractional positions:
Mg 0.0000 0.0000 0.0000
In 0.5000 0.5000 0.0000
Mo 0.0000 0.0000 0.5000
S 0.0000 0.5000 0.5000
S 0.5000 0.0000 0.5000

## Properties
Formation energy (no corrections) (eV per atom): -0.029
SG: No. 123
Total energy (eV/atom): -4.7127
Spin magnetization (μB/atom): 0.000